MnVHPbO5 GGA+U relaxed; SG = Pnma; DOS at the Fermi energy = 0.0000 states/eV/atom; total moment = 20.0 μB per cell; calculated total energy = -245.93 eV per cell
1.0
7.757 0.000 0.000
0.000 6.323 0.000
0.000 0.000 9.593
Mn V H Pb O
4 4 4 4 20
Direct
0.000 0.000 0.000
0.000 0.500 0.000
0.500 0.000 0.500
0.500 0.500 0.500
0.132 0.250 0.316
0.368 0.750 0.816
0.632 0.250 0.184
0.868 0.750 0.684
0.230 0.750 0.477
0.270 0.250 0.977
0.730 0.750 0.023
0.770 0.250 0.523
0.139 0.250 0.680
0.361 0.750 0.180
0.639 0.250 0.820
0.861 0.750 0.320
0.042 0.750 0.577
0.123 0.015 0.212
0.123 0.485 0.212
0.156 0.250 0.929
0.187 0.750 0.930
0.313 0.250 0.430
0.344 0.750 0.429
0.377 0.515 0.712
0.377 0.985 0.712
0.458 0.250 0.077
0.542 0.750 0.923
0.623 0.015 0.288
0.623 0.485 0.288
0.656 0.250 0.571
0.687 0.750 0.570
0.813 0.250 0.070
0.844 0.750 0.071
0.877 0.515 0.788
0.877 0.985 0.788
0.958 0.250 0.423